Material: Zr2Mn2AlRu5
Method: DFT, PBE
State: relaxed

Lattice parameters (Å, degrees): 3.4024 9.5334 9.5334 90.00 90.00 90.00
Last column: nearest neighbours and their distance in Å.
Fractional positions:
Zr (0.0000, 0.8268, 0.6732)  3 Mn 2.67-2.91, 2 Ru 2.89
Mn (0.0000, 0.3714, 0.1286)  6 Ru 2.42-2.43, 1 Zr 2.67
Zr (0.0000, 0.3268, 0.8268)  3 Mn 2.67-2.91, 2 Ru 2.89
Zr (0.0000, 0.6732, 0.1732)  3 Mn 2.67-2.91, 2 Ru 2.89
Ru (0.5000, 0.4357, 0.2968)  2 Mn 2.42, 2 Al 2.65
Ru (0.5000, 0.2968, 0.5643)  2 Mn 2.42, 2 Al 2.65
Mn (0.0000, 0.8714, 0.3714)  6 Ru 2.42-2.43, 1 Zr 2.67
Al (0.0000, 0.5000, 0.5000)  8 Ru 2.65
Zr (0.0000, 0.1732, 0.3268)  3 Mn 2.67-2.91, 2 Ru 2.89
Mn (0.0000, 0.6286, 0.8714)  6 Ru 2.42-2.43, 1 Zr 2.67
Ru (0.5000, 0.7968, 0.9357)  2 Mn 2.42, 2 Al 2.65
Ru (0.5000, 0.0000, 0.5000)  4 Mn 2.43
Ru (0.5000, 0.9357, 0.2032)  2 Mn 2.42, 2 Al 2.65
Al (0.0000, 0.0000, 0.0000)  8 Ru 2.65
Ru (0.5000, 0.7032, 0.4357)  2 Mn 2.42, 2 Al 2.65
Ru (0.5000, 0.0643, 0.7968)  2 Mn 2.42, 2 Al 2.65
Ru (0.5000, 0.2032, 0.0643)  2 Mn 2.42, 2 Al 2.65
Ru (0.5000, 0.5643, 0.7032)  2 Mn 2.42, 2 Al 2.65
Ru (0.5000, 0.5000, 0.0000)  4 Mn 2.43
Mn (0.0000, 0.1286, 0.6286)  6 Ru 2.42-2.43, 1 Zr 2.67

## Properties
VASP energy   -8.74 eV per atom
Calculated formation energy   -1.87 eV per formula unit
Total magnetic moment   0.3708 μB/atom